Entry 1:
DFT (PBE-GGA) results for Pm12Y2Sc5 after structural relaxation.

Cell lengths 6.9522, 9.2423, 10.6154 Å; angles 102.71, 90.00, 112.09 degrees
Fractional positions:
1 Pm 0.0609 0.6028 0.8800
2 Pm 0.1089 0.2177 0.8210
3 Pm 0.9325 0.3608 0.5850
4 Pm 0.0675 0.6392 0.4150
5 Pm 0.5717 0.6392 0.4150
6 Pm 0.4386 0.8772 0.6730
7 Pm 0.9391 0.3972 0.1200
8 Pm 0.4580 0.3972 0.1200
9 Pm 0.5420 0.6028 0.8800
10 Pm 0.8911 0.7823 0.1790
11 Pm 0.5614 0.1228 0.3270
12 Pm 0.4283 0.3608 0.5850
13 Sc 0.6268 0.2535 0.8368
14 Sc 0.8931 0.7863 0.7030
15 Sc 0.1069 0.2137 0.2970
16 Sc 0.0000 0.0000 0.5000
17 Sc 0.3732 0.7465 0.1632
18 Y 0.2618 0.0000 0.0000
19 Y 0.7382 0.0000 0.0000

ΔE_f   189.6 meV per atom
Symmetry   C2/m, No. 12
ρ   5.80 g/cm3


Entry 2:
DFT (PBE-GGA) results for CsFe4Cu2 after structural relaxation.

Cell lengths 4.7877, 4.7877, 7.1967 Å; angles 70.57, 70.57, 90.00 degrees
Each line ends with the local moment (μB).
Fractional positions:
1 Fe 0.7752 0.7752 0.4497  3.14
2 Fe 0.2248 0.2248 0.5503  3.14
3 Fe 0.5000 0.0000 0.0000  2.36
4 Fe 0.0000 0.5000 0.0000  2.36
5 Cu 0.5927 0.5927 0.8147  0.11
6 Cu 0.4073 0.4073 0.1853  0.11
7 Cs 0.0000 0.0000 0.0000  -0.04

ΔE_f   2021.0 meV per atom
Symmetry   I4/mmm, No. 139
ρ   5.51 g/cm3


Entry 3:
DFT (PBE-GGA) results for Mn2P2Rh after structural relaxation.

Cell lengths 6.4379, 6.4379, 2.9870 Å; angles 90.00, 90.00, 90.00 degrees
Each line ends with the local moment (μB).
Fractional positions:
1 P 0.8478 0.6522 0.0000  -0.11
2 P 0.1522 0.3478 0.0000  -0.11
3 P 0.3478 0.8478 0.0000  -0.11
4 P 0.6522 0.1522 0.0000  -0.11
5 Mn 0.8604 0.3604 0.5000  2.18
6 Mn 0.6396 0.8604 0.5000  2.21
7 Mn 0.1396 0.6396 0.5000  2.18
8 Mn 0.3604 0.1396 0.5000  2.21
9 Rh 0.5000 0.5000 0.0000  0.15
10 Rh 0.0000 0.0000 0.0000  0.15

ΔE_f   -388.3 meV per atom
Symmetry   P4/mbm, No. 127
ρ   7.37 g/cm3


Entry 4:
DFT (PBE-GGA) results for KRuBr after structural relaxation.

Cell lengths 4.2436, 4.2436, 5.2719 Å; angles 90.00, 90.00, 120.00 degrees
Each line ends with the local moment (μB).
Fractional positions:
1 Ru 0.3333 0.6667 0.8147  1.03
2 K 0.6667 0.3333 0.3257  0.00
3 Br 0.0000 0.0000 0.8596  0.06

Energy above the most stable polymorph in this dataset   0.000 eV per atom
Symmetry   P3m1, No. 156
Formation energy (no corrections)   0.40 eV/atom
ρ   4.44 g/cm3


Entry 5:
DFT (PBE-GGA) results for LaZn2BiRh after structural relaxation.

Cell lengths 5.6082, 6.0824, 5.6082 Å; angles 90.00, 90.00, 90.00 degrees
Each line ends with the local moment (μB).
Fractional positions:
1 Rh 0.5000 0.5000 0.5000  1.37
2 Zn 0.5000 0.0000 0.0000  -0.05
3 Zn 0.0000 0.0000 0.5000  0.00
4 La 0.0000 0.0000 0.0000  -0.09
5 Bi 0.0000 0.5000 0.0000  0.05

ΔE_f   1317.1 meV per atom
Symmetry   P4/mmm, No. 123
ρ   5.05 g/cm3


Entry 6:
DFT (PBE-GGA) results for TlIBrO2 after structural relaxation.

Cell lengths 4.2204, 7.4549, 4.2204 Å; angles 90.00, 90.00, 90.00 degrees
Fractional positions:
1 Tl 0.0000 0.0000 0.0000
2 O 0.5000 0.0000 0.0000
3 O 0.0000 0.0000 0.5000
4 Br 0.5000 0.5000 0.5000
5 I 0.0000 0.5000 0.0000

Energy above the most stable polymorph in this dataset   0.000 eV per atom
Symmetry   P4/mmm, No. 123
Formation energy (no corrections)   0.25 eV/atom
ρ   5.54 g/cm3


Entry 7:
DFT (PBE-GGA) results for ScGa3F after structural relaxation.

Cell lengths 5.4285, 5.4285, 5.4285 Å; angles 90.00, 90.00, 90.00 degrees
Each line ends with the local moment (μB).
Fractional positions:
1 F 0.5000 0.5000 0.5000  0.11
2 Ga 0.0000 0.0000 0.5000  0.18
3 Ga 0.0000 0.5000 0.0000  0.21
4 Ga 0.5000 0.0000 0.0000  0.17
5 Sc 0.0000 0.0000 0.0000  0.75

Energy above the most stable polymorph in this dataset   0.859 eV per atom
Symmetry   Pm-3m, No. 221
Formation energy (no corrections)   0.29 eV/atom
ρ   2.84 g/cm3


Entry 8:
DFT (PBE-GGA) results for NaCrSe2 after structural relaxation.

Cell lengths 5.1126, 5.1126, 9.9053 Å; angles 90.00, 90.00, 120.00 degrees
Each line ends with the local moment (μB).
Fractional positions:
1 Se 0.0000 0.0000 0.7734  -0.24
2 Se 0.0000 0.0000 0.2266  -0.24
3 Cr 0.0000 0.0000 0.0000  3.29
4 Na 0.0000 0.0000 0.5000  0.00

Symmetry   P6/mmm, No. 191
Formation energy (no corrections)   0.17 eV/atom
ρ   1.72 g/cm3


Entry 9:
DFT (PBE-GGA) results for CuAsRu2 after structural relaxation.

Cell lengths 4.7277, 4.7277, 4.7277 Å; angles 132.97, 132.97, 68.70 degrees
Fractional positions:
1 Ru 0.2500 0.7500 0.5000
2 Ru 0.0000 0.0000 0.0000
3 Cu 0.7500 0.2500 0.5000
4 As 0.5000 0.5000 0.0000

ΔE_f   262.9 meV per atom
Symmetry   I-4m2, No. 119
ρ   10.18 g/cm3


Entry 10:
DFT (PBE-GGA) results for MgPtCl2 after structural relaxation.

Cell lengths 5.4790, 5.4790, 5.1340 Å; angles 85.05, 85.05, 34.69 degrees
Fractional positions:
1 Cl 0.0192 0.0192 0.9950
2 Cl 0.8135 0.8135 0.5784
3 Mg 0.5068 0.5068 0.6121
4 Pt 0.1605 0.1605 0.3145

Energy above the most stable polymorph in this dataset   0.213 eV per atom
Symmetry   Cm, No. 8
Formation energy (no corrections)   -0.65 eV/atom
ρ   5.52 g/cm3


Entry 11:
DFT (PBE-GGA) results for CdAsCl after structural relaxation.

Cell lengths 3.8815, 7.6734, 6.7523 Å; angles 124.65, 106.70, 90.01 degrees
Fractional positions:
1 As 0.9766 0.0098 0.8888
2 As 0.6289 0.1621 0.1936
3 Cd 0.8437 0.1703 0.6239
4 Cd 0.7617 0.5876 0.4584
5 Cl 0.4075 0.4551 0.7510
6 Cl 0.1981 0.7453 0.3314

Energy above the most stable polymorph in this dataset   0.041 eV per atom
Symmetry   Ima2, No. 46
Formation energy (no corrections)   -0.51 eV/atom
ρ   4.77 g/cm3


Entry 12:
DFT (PBE-GGA) results for SmY2P3 after structural relaxation.

Cell lengths 4.0490, 5.7229, 7.0056 Å; angles 114.11, 106.80, 90.00 degrees
Fractional positions:
1 P 0.1696 0.6696 0.8392
2 P 0.8304 0.3304 0.1608
3 P 0.5000 0.0000 0.5000
4 Y 0.1663 0.1663 0.8326
5 Y 0.8337 0.8337 0.1674
6 Sm 0.5000 0.5000 0.5000

ΔE_f   -1606.5 meV per atom
Symmetry   Immm, No. 71
ρ   4.97 g/cm3